[1]
The following is a DFT calculation (PBE-GGA) of a geometry-optimized ScTi2FeS structure.

The structure in CIF format:
```
data_ScTi2FeS
_cell_length_a 4.750
_cell_length_b 4.750
_cell_length_c 4.616
_cell_angle_alpha 90.00
_cell_angle_beta 90.00
_cell_angle_gamma 90.00
_symmetry_space_group_name_H-M 'P 1'
_symmetry_Int_Tables_number 1
_symmetry_space_group_name_Hall 'P 1'
loop_
_atom_site_label
_atom_site_type_symbol
_atom_site_fract_x
_atom_site_fract_y
_atom_site_fract_z
_atom_site_occupancy
Sc1 Sc 0.000 0.000 0.000 1
Ti1 Ti 0.000 0.500 0.000 1
Ti2 Ti 0.500 0.000 0.000 1
Fe1 Fe 0.500 0.500 0.500 1
S1 S 0.000 0.000 0.500 1
```

Results
Formation energy from raw total energies ... 107.6 kJ/mol of atoms
D(E_F) ... 6.12 states/eV/f.u.
Raw total energy ... -5.8271 eV/atom

***

[2]
The following is a DFT calculation (PBE-GGA) of a geometry-optimized Sc2VFeS structure.

The structure in CIF format:
```
data_Sc2VFeS
_cell_length_a 4.910
_cell_length_b 4.910
_cell_length_c 4.112
_cell_angle_alpha 90.00
_cell_angle_beta 90.00
_cell_angle_gamma 90.00
_symmetry_space_group_name_H-M 'P 1'
_symmetry_Int_Tables_number 1
_symmetry_space_group_name_Hall 'P 1'
loop_
_atom_site_label
_atom_site_type_symbol
_atom_site_fract_x
_atom_site_fract_y
_atom_site_fract_z
_atom_site_occupancy
Sc1 Sc 0.000 0.500 0.000 1
Sc2 Sc 0.500 0.000 0.000 1
V1 V 0.000 0.000 0.500 1
Fe1 Fe 0.000 0.000 0.000 1
S1 S 0.500 0.500 0.500 1
```

Results
Formation energy from raw total energies ... 5.9 kJ/mol of atoms
D(E_F) ... 3.72 states/eV/f.u.
Raw total energy ... -6.8132 eV/atom

***

[3]
The following is a DFT calculation (PBE-GGA) of a geometry-optimized Sc2VFeS structure.

The structure in CIF format:
```
data_Sc2VFeS
_cell_length_a 4.941
_cell_length_b 4.941
_cell_length_c 4.286
_cell_angle_alpha 90.00
_cell_angle_beta 90.00
_cell_angle_gamma 90.00
_symmetry_space_group_name_H-M 'P 1'
_symmetry_Int_Tables_number 1
_symmetry_space_group_name_Hall 'P 1'
loop_
_atom_site_label
_atom_site_type_symbol
_atom_site_fract_x
_atom_site_fract_y
_atom_site_fract_z
_atom_site_occupancy
Sc1 Sc 0.000 0.500 0.000 1
Sc2 Sc 0.500 0.000 0.000 1
V1 V 0.000 0.000 0.000 1
Fe1 Fe 0.500 0.500 0.500 1
S1 S 0.000 0.000 0.500 1
```

Results
Formation energy from raw total energies ... 48.2 kJ/mol of atoms
D(E_F) ... 6.01 states/eV/f.u.
Raw total energy ... -6.3753 eV/atom

***

[4]
The following is a DFT calculation (PBE-GGA) of a geometry-optimized FeSeS2 structure.

The structure in CIF format:
```
data_FeSeS2
_cell_length_a 7.509
_cell_length_b 7.509
_cell_length_c 7.509
_cell_angle_alpha 25.77
_cell_angle_beta 25.77
_cell_angle_gamma 25.77
_symmetry_space_group_name_H-M 'P 1'
_symmetry_Int_Tables_number 1
_symmetry_space_group_name_Hall 'P 1'
loop_
_atom_site_label
_atom_site_type_symbol
_atom_site_fract_x
_atom_site_fract_y
_atom_site_fract_z
_atom_site_occupancy
Fe1 Fe 0.000 0.000 0.000 1
Se1 Se 0.500 0.500 0.500 1
S1 S 0.388 0.388 0.388 1
S2 S 0.612 0.612 0.612 1
```

Results
Formation energy from raw total energies ... -9.1 kJ/mol of atoms
D(E_F) ... 4.67 states/eV/f.u.
Raw total energy ... -5.1443 eV/atom

***

[5]
The following is a DFT calculation (PBE-GGA) of a geometry-optimized FeSeS2 structure.

The structure in CIF format:
```
data_FeSeS2
_cell_length_a 4.354
_cell_length_b 4.354
_cell_length_c 4.354
_cell_angle_alpha 60.00
_cell_angle_beta 60.00
_cell_angle_gamma 60.00
_symmetry_space_group_name_H-M 'P 1'
_symmetry_Int_Tables_number 1
_symmetry_space_group_name_Hall 'P 1'
loop_
_atom_site_label
_atom_site_type_symbol
_atom_site_fract_x
_atom_site_fract_y
_atom_site_fract_z
_atom_site_occupancy
Fe1 Fe 0.000 0.000 0.000 1
Se1 Se 0.500 0.500 0.500 1
S1 S 0.250 0.250 0.250 1
S2 S 0.750 0.750 0.750 1
```

Results
Formation energy from raw total energies ... 77.8 kJ/mol of atoms
D(E_F) ... 5.12 states/eV/f.u.
Raw total energy ... -4.2446 eV/atom

***

[6]
The following is a DFT calculation (PBE-GGA) of a geometry-optimized FeSeS3 structure.

The structure in CIF format:
```
data_FeSeS3
_cell_length_a 4.428
_cell_length_b 4.428
_cell_length_c 4.428
_cell_angle_alpha 90.00
_cell_angle_beta 90.00
_cell_angle_gamma 90.00
_symmetry_space_group_name_H-M 'P 1'
_symmetry_Int_Tables_number 1
_symmetry_space_group_name_Hall 'P 1'
loop_
_atom_site_label
_atom_site_type_symbol
_atom_site_fract_x
_atom_site_fract_y
_atom_site_fract_z
_atom_site_occupancy
Fe1 Fe 0.000 0.000 0.000 1
Se1 Se 0.500 0.500 0.500 1
S1 S 0.000 0.000 0.500 1
S2 S 0.000 0.500 0.000 1
S3 S 0.500 0.000 0.000 1
```

Results
Formation energy from raw total energies ... 46.3 kJ/mol of atoms
D(E_F) ... 4.24 states/eV/f.u.
Raw total energy ... -4.3861 eV/atom

***

[7]
The following is a DFT calculation (PBE-GGA) of a geometry-optimized Fe3Se4S2 structure.

The structure in CIF format:
```
data_Fe3Se4S2
_cell_length_a 7.469
_cell_length_b 3.530
_cell_length_c 10.836
_cell_angle_alpha 90.00
_cell_angle_beta 99.22
_cell_angle_gamma 90.00
_symmetry_space_group_name_H-M 'P 1'
_symmetry_Int_Tables_number 1
_symmetry_space_group_name_Hall 'P 1'
loop_
_atom_site_label
_atom_site_type_symbol
_atom_site_fract_x
_atom_site_fract_y
_atom_site_fract_z
_atom_site_occupancy
Fe1 Fe 0.000 0.000 0.000 1
Fe2 Fe 0.162 0.500 0.321 1
Fe3 Fe 0.332 0.000 0.667 1
Fe4 Fe 0.496 0.500 0.996 1
Fe5 Fe 0.661 0.000 0.326 1
Fe6 Fe 0.828 0.500 0.655 1
Se1 Se 0.146 0.500 0.713 1
Se2 Se 0.152 0.000 0.465 1
Se3 Se 0.180 0.500 0.948 1
Se4 Se 0.478 0.500 0.375 1
Se5 Se 0.511 0.500 0.611 1
Se6 Se 0.813 0.500 0.046 1
Se7 Se 0.819 0.000 0.799 1
Se8 Se 0.845 0.500 0.277 1
S1 S 0.170 0.000 0.189 1
S2 S 0.490 0.000 0.132 1
S3 S 0.500 0.000 0.859 1
S4 S 0.832 0.000 0.520 1
```

Results
Formation energy from raw total energies ... -35.9 kJ/mol of atoms
Raw total energy ... -5.6586 eV/atom

***

[8]
The following is a DFT calculation (PBE-GGA) of a geometry-optimized FeSeS structure.

The structure in CIF format:
```
data_FeSeS
_cell_length_a 5.806
_cell_length_b 5.596
_cell_length_c 5.796
_cell_angle_alpha 90.00
_cell_angle_beta 105.95
_cell_angle_gamma 90.00
_symmetry_space_group_name_H-M 'P 1'
_symmetry_Int_Tables_number 1
_symmetry_space_group_name_Hall 'P 1'
loop_
_atom_site_label
_atom_site_type_symbol
_atom_site_fract_x
_atom_site_fract_y
_atom_site_fract_z
_atom_site_occupancy
Fe1 Fe 0.237 0.011 0.244 1
Fe2 Fe 0.237 0.489 0.744 1
Fe3 Fe 0.763 0.511 0.256 1
Fe4 Fe 0.763 0.989 0.756 1
Se1 Se 0.353 0.629 0.146 1
Se2 Se 0.353 0.871 0.646 1
Se3 Se 0.647 0.129 0.354 1
Se4 Se 0.647 0.371 0.854 1
S1 S 0.139 0.130 0.859 1
S2 S 0.139 0.370 0.359 1
S3 S 0.861 0.630 0.641 1
S4 S 0.861 0.870 0.141 1
```

Results
Formation energy from raw total energies ... -39.9 kJ/mol of atoms
Raw total energy ... -5.7720 eV/atom

***

[9]
The following is a DFT calculation (PBE-GGA) of a geometry-optimized FeSeS2 structure.

The structure in CIF format:
```
data_FeSeS2
_cell_length_a 6.059
_cell_length_b 6.059
_cell_length_c 6.059
_cell_angle_alpha 121.19
_cell_angle_beta 121.19
_cell_angle_gamma 87.95
_symmetry_space_group_name_H-M 'P 1'
_symmetry_Int_Tables_number 1
_symmetry_space_group_name_Hall 'P 1'
loop_
_atom_site_label
_atom_site_type_symbol
_atom_site_fract_x
_atom_site_fract_y
_atom_site_fract_z
_atom_site_occupancy
Fe1 Fe 0.000 0.000 0.000 1
Fe2 Fe 0.750 0.250 0.500 1
Se1 Se 0.250 0.750 0.500 1
Se2 Se 0.500 0.500 0.000 1
S1 S 0.044 0.625 0.919 1
S2 S 0.375 0.294 0.419 1
S3 S 0.706 0.125 0.081 1
S4 S 0.875 0.956 0.581 1
```

Results
Formation energy from raw total energies ... 12.9 kJ/mol of atoms
D(E_F) ... 3.26 states/eV/f.u.
Raw total energy ... -4.9172 eV/atom

***

[10]
The following is a DFT calculation (PBE-GGA) of a geometry-optimized FeSeS structure.

The structure in CIF format:
```
data_FeSeS
_cell_length_a 3.492
_cell_length_b 4.632
_cell_length_c 5.595
_cell_angle_alpha 90.00
_cell_angle_beta 90.00
_cell_angle_gamma 90.00
_symmetry_space_group_name_H-M 'P 1'
_symmetry_Int_Tables_number 1
_symmetry_space_group_name_Hall 'P 1'
loop_
_atom_site_label
_atom_site_type_symbol
_atom_site_fract_x
_atom_site_fract_y
_atom_site_fract_z
_atom_site_occupancy
Fe1 Fe 0.000 0.233 0.000 1
Fe2 Fe 0.500 0.767 0.500 1
Se1 Se 0.000 0.463 0.374 1
Se2 Se 0.500 0.537 0.874 1
S1 S 0.000 0.036 0.633 1
S2 S 0.500 0.964 0.133 1
```

Results
Formation energy from raw total energies ... -39.3 kJ/mol of atoms
Raw total energy ... -5.7653 eV/atom

***

[11]
The following is a DFT calculation (PBE-GGA) of a geometry-optimized Fe4Se2S structure.

The structure in CIF format:
```
data_Fe4Se2S
_cell_length_a 7.015
_cell_length_b 7.015
_cell_length_c 7.015
_cell_angle_alpha 144.21
_cell_angle_beta 144.21
_cell_angle_gamma 51.51
_symmetry_space_group_name_H-M 'P 1'
_symmetry_Int_Tables_number 1
_symmetry_space_group_name_Hall 'P 1'
loop_
_atom_site_label
_atom_site_type_symbol
_atom_site_fract_x
_atom_site_fract_y
_atom_site_fract_z
_atom_site_occupancy
Fe1 Fe 0.000 0.500 0.500 1
Fe2 Fe 0.173 0.173 0.000 1
Fe3 Fe 0.500 0.000 0.500 1
Fe4 Fe 0.827 0.827 0.000 1
Se1 Se 0.360 0.360 0.000 1
Se2 Se 0.640 0.640 0.000 1
S1 S 0.000 0.000 0.000 1
```

Results
Formation energy from raw total energies ... 27.7 kJ/mol of atoms
D(E_F) ... 5.17 states/eV/f.u.
Raw total energy ... -6.1342 eV/atom

***

[12]
The following is a DFT calculation (PBE-GGA) of a geometry-optimized Th4FeSeS2 structure.

The structure in CIF format:
```
data_Th4FeSeS2
_cell_length_a 7.137
_cell_length_b 3.980
_cell_length_c 7.346
_cell_angle_alpha 90.00
_cell_angle_beta 108.98
_cell_angle_gamma 90.00
_symmetry_space_group_name_H-M 'P 1'
_symmetry_Int_Tables_number 1
_symmetry_space_group_name_Hall 'P 1'
loop_
_atom_site_label
_atom_site_type_symbol
_atom_site_fract_x
_atom_site_fract_y
_atom_site_fract_z
_atom_site_occupancy
Th1 Th 0.227 0.000 0.220 1
Th2 Th 0.256 0.500 0.766 1
Th3 Th 0.744 0.500 0.234 1
Th4 Th 0.773 0.000 0.780 1
Fe1 Fe 0.000 0.500 0.000 1
Se1 Se 0.000 0.000 0.500 1
S1 S 0.500 0.000 0.000 1
S2 S 0.500 0.500 0.500 1
```

Results
Formation energy from raw total energies ... -124.0 kJ/mol of atoms
D(E_F) ... 6.10 states/eV/f.u.
Raw total energy ... -7.5201 eV/atom